A relaxed Sm3Dy4Ho8 crystal, computed with PBE.

Lattice parameters (Å, degrees): 13.336 12.788 6.716 90.00 120.19 90.00
Space group C2/m (No. 12)
One atom of each set of equivalent atoms:
Sm1 0.000 0.000 0.000
Sm2 0.250 0.250 0.000
Dy1 0.000 0.000 0.500
Dy2 0.000 0.500 0.000
Dy3 0.250 0.250 0.500
Ho1 0.000 0.255 0.000
Ho2 0.000 0.361 0.500
Ho3 0.231 0.500 0.967
Ho4 0.235 0.500 0.491

Results
**Magnetization**: 0.04 μB/f.u.
**Formation energy**: 0.39 eV per atom



A relaxed La2PmSe3 crystal, computed with PBE.

Lattice parameters (Å, degrees): 8.603 12.091 25.472 90.00 90.00 90.00
Space group Fddd (No. 70, origin choice 2)
One atom of each set of equivalent atoms:
La1 0.125 0.125 0.042
La2 0.125 0.125 0.374
Pm1 0.125 0.125 0.542
Se1 0.119 0.375 0.875
Se2 0.122 0.372 0.709

Results
**Magnetization**: 0.00 μB/f.u.
**E above lowest polymorph**: 0.00 kcal/mol of atoms
**Uncorrected formation energy**: -1948.7 meV per atom



A relaxed Pr3TeN2 crystal, computed with PBE.

Lattice parameters (Å, degrees): 3.699 11.114 6.624 90.00 90.00 90.00
Space group Pmc2_1 (No. 26)
One atom of each set of equivalent atoms:
Pr1 0.000 0.091 0.000
Pr2 0.500 0.173 0.537
Pr3 0.500 0.392 0.883
Te1 0.000 0.368 0.277
N1 0.000 0.261 0.770
N2 0.500 0.004 0.276

Results
**Magnetization**: 0.55 μB/f.u.
**E above lowest polymorph**: 0.00 kcal/mol of atoms
**Uncorrected formation energy**: -1185.4 meV per atom